(1)
# Rb2TlF3 PBE optimized geometry
data_Rb2TlF3
_cell_length_a 6.996
_cell_length_b 12.121
_cell_length_c 7.000
_cell_angle_alpha 90.00
_cell_angle_beta 109.46
_cell_angle_gamma 90.00
_space_group_name_H-M_alt 'C 1 2/m 1'
_space_group_IT_number 12
loop_
_space_group_symop_operation_xyz
'x,y,z'
'-x,-y,-z'
'-x,y,-z'
'x,-y,z'
'x+1/2,y+1/2,z'
'-x+1/2,-y+1/2,-z'
'-x+1/2,y+1/2,-z'
'x+1/2,-y+1/2,z'
loop_
_atom_site_label
_atom_site_fract_x
_atom_site_fract_y
_atom_site_fract_z
_atom_site_occupancy
Rb1 0.000 0.000 0.000 1
Rb2 0.000 0.168 0.500 1
Rb3 0.000 0.500 0.500 1
Tl1 0.000 0.333 0.000 1
F1 0.248 0.500 0.250 1
F2 0.249 0.332 0.751 1
# Excess energy over the best structure of this formula in the dataset ... 0.0 meV/atom
# Mass density ... 5.1 g/cm³
# Fermi-level density of states ... 0.00 states/eV per cell

=====

(2)
# Ba2GaNi PBE optimized geometry
data_Ba2GaNi
_cell_length_a 4.2581
_cell_length_b 4.2581
_cell_length_c 31.7435
_cell_angle_alpha 90.00
_cell_angle_beta 90.00
_cell_angle_gamma 120.00
_space_group_name_H-M_alt 'R -3 m'
_space_group_IT_number 166
_space_group_name_Hall '-R 3 2"'
loop_
_atom_site_label
_atom_site_fract_x
_atom_site_fract_y
_atom_site_fract_z
_atom_site_occupancy
Ba1 0.0000 0.0000 0.1099 1
Ga1 0.0000 0.0000 0.0000 1
Ni1 0.0000 0.0000 0.5000 1
# Mass density ... 4.0 g/cm³
# Fermi-level density of states ... 12.84 states/eV per cell
# Calculated formation energy ... 323 meV per atom

=====

(3)
# Sm2ZnNi3As4 PBE optimized geometry
data_Sm2ZnNi3As4
_cell_length_a 4.212
_cell_length_b 4.212
_cell_length_c 9.751
_cell_angle_alpha 90.00
_cell_angle_beta 90.00
_cell_angle_gamma 90.00
_space_group_name_H-M_alt 'P -4 m 2'
_space_group_IT_number 115
loop_
_space_group_symop_operation_xyz
'x,y,z'
'y,-x,-z'
'-x,-y,z'
'-y,x,-z'
'-x,y,z'
'-y,-x,-z'
'x,-y,z'
'y,x,-z'
loop_
_atom_site_label
_atom_site_fract_x
_atom_site_fract_y
_atom_site_fract_z
_atom_site_occupancy
Sm1 0.000 0.500 0.242 1
Zn1 0.000 0.000 0.500 1
Ni1 0.000 0.500 0.884 1
Ni2 0.500 0.500 0.500 1
As1 0.000 0.000 0.000 1
As2 0.000 0.500 0.642 1
As3 0.500 0.500 0.000 1
# Mass density ... 8.1 g/cm³
# Fermi-level density of states ... 4.74 states/eV per cell
# Calculated formation energy ... -727 meV per atom

=====

(4)
# SbSeCl2 PBE optimized geometry
data_SbSeCl2
_cell_length_a 4.407
_cell_length_b 4.407
_cell_length_c 4.554
_cell_angle_alpha 90.00
_cell_angle_beta 90.00
_cell_angle_gamma 90.00
_space_group_name_H-M_alt 'P 4/m m m'
_space_group_IT_number 123
_space_group_name_Hall '-P 4 2'
loop_
_atom_site_label
_atom_site_fract_x
_atom_site_fract_y
_atom_site_fract_z
_atom_site_occupancy
Sb1 0.000 0.000 0.000 1
Se1 0.500 0.500 0.000 1
Cl1 0.000 0.500 0.500 1
# Excess energy over the best structure of this formula in the dataset ... 549.3 meV/atom
# Mass density ... 5.1 g/cm³
# Fermi-level density of states ... 2.10 states/eV per cell

=====

(5)
# PuAg3Br7 PBE optimized geometry
data_PuAg3Br7
_cell_length_a 12.614
_cell_length_b 8.808
_cell_length_c 7.433
_cell_angle_alpha 90.00
_cell_angle_beta 100.77
_cell_angle_gamma 90.00
_space_group_name_H-M_alt 'C 1 m 1'
_space_group_IT_number 8
loop_
_space_group_symop_operation_xyz
'x,y,z'
'x,-y,z'
'x+1/2,y+1/2,z'
'x+1/2,-y+1/2,z'
loop_
_atom_site_label
_atom_site_fract_x
_atom_site_fract_y
_atom_site_fract_z
_atom_site_occupancy
Pu1 0.000 0.000 0.000 1
Ag1 0.021 0.230 0.420 1
Ag2 0.346 0.000 0.756 1
Br1 0.010 0.500 0.569 1
Br2 0.115 0.000 0.697 1
Br3 0.140 0.225 0.157 1
Br4 0.349 0.294 0.827 1
Br5 0.382 0.500 0.291 1
# Uncorrected energy ... -3.89 eV per atom
# Mass density ... 4.6 g/cm³
# Fermi-level density of states ... 13.83 states/eV per cell

=====

(6)
# PmTlF4 PBE optimized geometry
data_PmTlF4
_cell_length_a 6.295
_cell_length_b 3.755
_cell_length_c 16.787
_cell_angle_alpha 90.00
_cell_angle_beta 90.00
_cell_angle_gamma 90.00
_space_group_name_H-M_alt 'P n m a'
_space_group_IT_number 62
loop_
_space_group_symop_operation_xyz
'x,y,z'
'-x,-y,-z'
'-x+1/2,-y,z+1/2'
'x+1/2,y,-z+1/2'
'x+1/2,-y+1/2,-z+1/2'
'-x+1/2,y+1/2,z+1/2'
'-x,y+1/2,-z'
'x,-y+1/2,z'
loop_
_atom_site_label
_atom_site_fract_x
_atom_site_fract_y
_atom_site_fract_z
_atom_site_occupancy
Pm1 0.247 0.250 0.056 1
Tl1 0.212 0.750 0.300 1
F1 0.004 0.750 0.446 1
F2 0.090 0.750 0.679 1
F3 0.109 0.750 0.125 1
F4 0.133 0.750 0.967 1
# Excess energy over the best structure of this formula in the dataset ... 0.0 meV/atom
# Mass density ... 7.1 g/cm³
# Fermi-level density of states ... 0.00 states/eV per cell

=====

(7)
# Cs4PdI2 PBE optimized geometry
data_Cs4PdI2
_cell_length_a 18.087
_cell_length_b 5.121
_cell_length_c 10.587
_cell_angle_alpha 90.00
_cell_angle_beta 121.74
_cell_angle_gamma 90.00
_space_group_name_H-M_alt 'C 1 2/m 1'
_space_group_IT_number 12
loop_
_space_group_symop_operation_xyz
'x,y,z'
'-x,-y,-z'
'-x,y,-z'
'x,-y,z'
'x+1/2,y+1/2,z'
'-x+1/2,-y+1/2,-z'
'-x+1/2,y+1/2,-z'
'x+1/2,-y+1/2,z'
loop_
_atom_site_label
_atom_site_fract_x
_atom_site_fract_y
_atom_site_fract_z
_atom_site_occupancy
Cs1 0.035 0.000 0.345 1
Cs2 0.156 0.500 0.081 1
Pd1 0.000 0.000 0.000 1
I1 0.145 0.500 0.690 1
# Excess energy over the best structure of this formula in the dataset ... 0.0 meV/atom
# Mass density ... 3.6 g/cm³

=====

(8)
# Ac3Tl2In3Ru PBE optimized geometry
data_Ac3Tl2In3Ru
_cell_length_a 7.8882
_cell_length_b 7.8882
_cell_length_c 4.9142
_cell_angle_alpha 90.00
_cell_angle_beta 90.00
_cell_angle_gamma 120.00
_space_group_name_H-M_alt 'P -6 2 m'
_space_group_IT_number 189
_space_group_name_Hall 'P -6 -2'
loop_
_atom_site_label
_atom_site_fract_x
_atom_site_fract_y
_atom_site_fract_z
_atom_site_occupancy
Ac1 0.0000 0.3824 0.0000 1
Tl1 0.3333 0.6667 0.5000 1
In1 0.0000 0.7757 0.5000 1
Ru1 0.0000 0.0000 0.0000 1
# Mass density ... 9.6 g/cm³
# Fermi-level density of states ... 3.87 states/eV per cell
# Calculated formation energy ... -373 meV per atom

=====

(9)
# CePrS2N PBE optimized geometry
data_CePrS2N
_cell_length_a 3.983
_cell_length_b 3.983
_cell_length_c 14.370
_cell_angle_alpha 90.00
_cell_angle_beta 90.00
_cell_angle_gamma 90.00
_space_group_name_H-M_alt 'P 4/n m m'
_space_group_IT_number 129
loop_
_space_group_symop_operation_xyz
'x,y,z'
'-x,-y,-z'
'-y+1/2,x,z'
'y+1/2,-x,-z'
'-x+1/2,-y+1/2,z'
'x+1/2,y+1/2,-z'
'y,-x+1/2,z'
'-y,x+1/2,-z'
'x+1/2,-y,-z'
'-x+1/2,y,z'
'-y,-x,-z'
'y,x,z'
'-x,y+1/2,-z'
'x,-y+1/2,z'
'y+1/2,x+1/2,-z'
'-y+1/2,-x+1/2,z'
loop_
_atom_site_label
_atom_site_fract_x
_atom_site_fract_y
_atom_site_fract_z
_atom_site_occupancy
Ce1 0.250 0.250 0.080 1
Pr1 0.250 0.250 0.629 1
S1 0.250 0.250 0.409 1
S2 0.250 0.250 0.813 1
N1 0.250 0.750 0.000 1
# Uncorrected energy ... -7.23 eV per atom
# Mass density ... 5.2 g/cm³
# Fermi-level density of states ... 4.30 states/eV per cell

=====

(10)
# Pr6Te3Ir2Au PBE optimized geometry
data_Pr6Te3Ir2Au
_cell_length_a 7.470
_cell_length_b 12.928
_cell_length_c 8.010
_cell_angle_alpha 90.00
_cell_angle_beta 108.04
_cell_angle_gamma 90.00
_space_group_name_H-M_alt 'C 1 2/m 1'
_space_group_IT_number 12
loop_
_space_group_symop_operation_xyz
'x,y,z'
'-x,-y,-z'
'-x,y,-z'
'x,-y,z'
'x+1/2,y+1/2,z'
'-x+1/2,-y+1/2,-z'
'-x+1/2,y+1/2,-z'
'x+1/2,-y+1/2,z'
loop_
_atom_site_label
_atom_site_fract_x
_atom_site_fract_y
_atom_site_fract_z
_atom_site_occupancy
Pr1 0.215 0.000 0.211 1
Pr2 0.250 0.178 0.783 1
Te1 0.000 0.000 0.500 1
Te2 0.000 0.340 0.500 1
Ir1 0.000 0.168 0.000 1
Au1 0.000 0.500 0.000 1
# Uncorrected energy ... -5.97 eV per atom
# Mass density ... 8.2 g/cm³
# Fermi-level density of states ... 14.48 states/eV per cell

=====

(11)
# K3LiPd2Cl9 PBE optimized geometry
data_K3LiPd2Cl9
_cell_length_a 7.0388
_cell_length_b 7.0388
_cell_length_c 8.5992
_cell_angle_alpha 90.00
_cell_angle_beta 90.00
_cell_angle_gamma 120.00
_space_group_name_H-M_alt 'P -3 m 1'
_space_group_IT_number 164
_space_group_name_Hall '-P 3 2"'
loop_
_atom_site_label
_atom_site_fract_x
_atom_site_fract_y
_atom_site_fract_z
_atom_site_occupancy
K1 0.0000 0.0000 0.0000 1
K2 0.3333 0.6667 0.6519 1
Li1 0.0000 0.0000 0.5000 1
Pd1 0.3333 0.6667 0.1638 1
Cl1 0.0000 0.5000 0.0000 1
Cl2 0.1686 0.3372 0.3249 1
# Uncorrected energy ... -3.35 eV per atom
# Mass density ... 3.0 g/cm³
# Fermi-level density of states ... 8.09 states/eV per cell